Computed, not measured: EuICl after structural relaxation at the GGA-PBE level of DFT.

abc: 7.4052 7.4052 7.4052
angles: 149.63 149.63 43.49
Last column: nearest neighbours and their distance in Å.
Sites, in units of the cell vectors:
Eu1 0.0000 0.0000 0.0000  4 Cl 3.09, 4 I 3.41
I1 0.3531 0.3531 0.0000  4 Eu 3.41, 1 Cl 3.45
Cl1 0.6040 0.6040 0.0000  4 Eu 3.09, 1 I 3.45

Results
DFT total energy = -6.351 eV/atom
energy above the most stable polymorph in this dataset = 185.1 meV/atom
ΔE_f (raw) = -1.7934 eV/atom


Computed, not measured: Pr2AsIr after structural relaxation at the GGA-PBE level of DFT.

abc: 9.1655 9.1655 9.1655
angles: 25.58 25.58 25.58
Last column: nearest neighbours and their distance in Å.
Sites, in units of the cell vectors:
Pr1 0.0994 0.0994 0.0994  1 Ir 2.64, 3 As 2.95
Pr2 0.9006 0.9006 0.9006  1 Ir 2.64, 3 As 2.95
As1 0.5000 0.5000 0.5000  6 Pr 2.95
Ir1 0.0000 0.0000 0.0000  2 Pr 2.64

Results
DFT total energy = -5.776 eV/atom
calculated formation energy = -0.009 eV per atom


Computed, not measured: MgAl2I6Br2 after structural relaxation at the GGA-PBE level of DFT.

abc: 7.3069 7.3069 10.9069
angles: 90.00 90.00 120.00
Last column: nearest neighbours and their distance in Å.
Sites, in units of the cell vectors:
Mg1 0.0000 0.0000 0.0000  6 I 2.97
Al1 0.3333 0.6667 0.7591  1 Br 2.26
Al2 0.6667 0.3333 0.2409  1 Br 2.26
I1 0.0004 0.3276 0.1617  1 Al 2.61
I2 0.9996 0.6724 0.8383  1 Al 2.61
I3 0.3272 0.9996 0.1617  1 Al 2.61
I4 0.3276 0.3272 0.8383  1 Al 2.61
I5 0.6724 0.6728 0.1617  1 Al 2.61
I6 0.6728 0.0004 0.8383  1 Al 2.61
Br1 0.3333 0.6667 0.5520  1 Al 2.26
Br2 0.6667 0.3333 0.4480  1 Al 2.26

Results
DFT total energy = -2.801 eV/atom
ΔE_f (raw) = -0.8259 eV/atom


Computed, not measured: Tm11In9Ga4 after structural relaxation at the GGA-PBE level of DFT.

abc: 13.0614 13.0614 3.7232
angles: 90.00 90.00 113.21
Last column: nearest neighbours and their distance in Å.
Sites, in units of the cell vectors:
Tm1 0.0000 0.0000 0.0000  8 In 3.18, 2 Tm 3.54
Tm2 0.0641 0.4109 0.0000  2 Ga 2.92, 4 In 3.18-3.22
Tm3 0.1625 0.8375 0.0000  8 In 3.26-3.34, 3 Tm 3.42-3.54
Tm4 0.3025 0.3025 0.0000  4 Ga 2.94
Tm5 0.3702 0.6298 0.0000  4 Ga 2.95
Tm6 0.4109 0.0641 0.0000  2 Ga 2.92, 4 In 3.18-3.22
Tm7 0.5891 0.9359 0.0000  2 Ga 2.92, 4 In 3.18-3.22
Tm8 0.6298 0.3702 0.0000  4 Ga 2.95
Tm9 0.6975 0.6975 0.0000  4 Ga 2.94
Tm10 0.8375 0.1625 0.0000  8 In 3.26-3.34, 3 Tm 3.42-3.54
Tm11 0.9359 0.5891 0.0000  2 Ga 2.92, 4 In 3.18-3.22
In1 0.0649 0.2139 0.5000  1 Ga 3.05, 8 Tm 3.18-3.41, 1 In 3.25
In2 0.1548 0.6298 0.5000  1 Ga 3.07, 1 In 3.10, 8 Tm 3.22-3.37
In3 0.2139 0.0649 0.5000  1 Ga 3.05, 8 Tm 3.18-3.41, 1 In 3.25
In4 0.3702 0.8452 0.5000  1 Ga 3.07, 1 In 3.10, 8 Tm 3.22-3.37
In5 0.5000 0.5000 0.5000  4 Ga 3.09, 8 Tm 3.39-3.40
In6 0.6298 0.1548 0.5000  1 Ga 3.07, 1 In 3.10, 8 Tm 3.22-3.37
In7 0.7861 0.9351 0.5000  1 Ga 3.05, 8 Tm 3.18-3.41, 1 In 3.25
In8 0.8452 0.3702 0.5000  1 Ga 3.07, 1 In 3.10, 8 Tm 3.22-3.37
In9 0.9351 0.7861 0.5000  1 Ga 3.05, 8 Tm 3.18-3.41, 1 In 3.25
Ga1 0.2478 0.4478 0.5000  6 Tm 2.92-2.95, 3 In 3.05-3.09
Ga2 0.4478 0.2478 0.5000  6 Tm 2.92-2.95, 3 In 3.05-3.09
Ga3 0.5522 0.7522 0.5000  6 Tm 2.92-2.95, 3 In 3.05-3.09
Ga4 0.7522 0.5522 0.5000  6 Tm 2.92-2.95, 3 In 3.05-3.09

Results
DFT total energy = -4.043 eV/atom
calculated formation energy = -0.462 eV per atom


Computed, not measured: CoSbOs2 after structural relaxation at the GGA-PBE level of DFT.

abc: 3.9372 3.9372 3.8319
angles: 90.00 90.00 90.00
Last column: nearest neighbours and their distance in Å.
Sites, in units of the cell vectors:
Co1 0.0000 0.0000 0.0000  8 Os 2.75, 4 Sb 2.78
Sb1 0.5000 0.5000 0.0000  8 Os 2.75, 4 Co 2.78
Os1 0.0000 0.5000 0.5000  4 Co 2.75, 4 Sb 2.75, 4 Os 2.78
Os2 0.5000 0.0000 0.5000  4 Co 2.75, 4 Sb 2.75, 4 Os 2.78

Results
DFT total energy = -7.885 eV/atom
energy above the most stable polymorph in this dataset = 92.1 meV/atom
ΔE_f (raw) = 0.5364 eV/atom


Computed, not measured: CuBi2Sb2Pd7 after structural relaxation at the GGA-PBE level of DFT.

abc: 3.9753 3.9753 15.7018
angles: 94.00 94.00 90.17
Last column: nearest neighbours and their distance in Å.
Sites, in units of the cell vectors:
Cu1 0.0000 0.0000 0.0000  12 Pd 2.76-2.82
Bi1 0.4304 0.4304 0.7564  5 Pd 2.74-2.81
Bi2 0.5696 0.5696 0.2436  5 Pd 2.74-2.81
Sb1 0.1388 0.1388 0.4156  5 Pd 2.70-2.82
Sb2 0.8612 0.8612 0.5844  5 Pd 2.70-2.82
Pd1 0.0347 0.5338 0.1229  2 Bi 2.74, 6 Pd 2.76-2.82, 2 Cu 2.76
Pd2 0.3565 0.3565 0.5766  5 Sb 2.70-2.82, 1 Bi 2.81
Pd3 0.4662 0.9653 0.8771  2 Bi 2.74, 6 Pd 2.76-2.82, 2 Cu 2.76
Pd4 0.5000 0.5000 0.0000  8 Pd 2.76-2.77, 4 Cu 2.81-2.82
Pd5 0.5338 0.0347 0.1229  2 Bi 2.74, 6 Pd 2.76-2.82, 2 Cu 2.76
Pd6 0.6435 0.6435 0.4234  5 Sb 2.70-2.82, 1 Bi 2.81
Pd7 0.9653 0.4662 0.8771  2 Bi 2.74, 6 Pd 2.76-2.82, 2 Cu 2.76

Results
DFT total energy = -4.872 eV/atom
ΔE_f (raw) = -0.1672 eV/atom


Computed, not measured: Zn2FeSb after structural relaxation at the GGA-PBE level of DFT.

abc: 4.2779 4.2779 3.8789
angles: 90.00 90.00 105.26
Last column: nearest neighbours and their distance in Å.
Sites, in units of the cell vectors:
Zn1 0.0000 0.5000 0.0000  2 Zn 2.60, 4 Fe 2.89, 4 Sb 2.89
Zn2 0.5000 0.0000 0.0000  2 Zn 2.60, 4 Fe 2.89, 4 Sb 2.89
Fe1 0.0000 0.0000 0.5000  2 Sb 2.60, 8 Zn 2.89
Sb1 0.5000 0.5000 0.5000  2 Fe 2.60, 8 Zn 2.89

Results
DFT total energy = -3.519 eV/atom
ΔE_f (raw) = 0.2642 eV/atom


Computed, not measured: Si2IrAu after structural relaxation at the GGA-PBE level of DFT.

abc: 2.8599 4.1616 5.3781
angles: 90.00 90.00 90.00
Last column: nearest neighbours and their distance in Å.
Sites, in units of the cell vectors:
Si1 0.0000 0.0000 0.0000  4 Au 2.52
Si2 0.5000 0.0000 0.5000  4 Ir 2.52
Ir1 0.0000 0.5000 0.5000  4 Si 2.52
Au1 0.5000 0.5000 0.0000  4 Si 2.52

Results
DFT total energy = -5.480 eV/atom
energy above the most stable polymorph in this dataset = 476.8 meV/atom
ΔE_f (raw) = 0.2660 eV/atom


Computed, not measured: La2Nd6Th after structural relaxation at the GGA-PBE level of DFT.

abc: 3.6607 3.6607 27.6106
angles: 90.00 90.00 120.00
Last column: nearest neighbours and their distance in Å.
Sites, in units of the cell vectors:
La1 0.0000 0.0000 0.1700  6 Nd 3.66-3.79, 6 La 3.66
La2 0.0000 0.0000 0.8300  6 Nd 3.66-3.79, 6 La 3.66
Nd1 0.0000 0.0000 0.3933  3 Th 3.62, 9 Nd 3.66-3.69
Nd2 0.0000 0.0000 0.6067  3 Th 3.62, 9 Nd 3.66-3.69
Nd3 0.6667 0.3333 0.0620  7 Nd 3.42-3.66, 3 La 3.66
Nd4 0.6667 0.3333 0.2838  9 Nd 3.66-3.69, 3 La 3.79
Nd5 0.6667 0.3333 0.7162  9 Nd 3.66-3.69, 3 La 3.79
Nd6 0.6667 0.3333 0.9380  7 Nd 3.42-3.66, 3 La 3.66
Th1 0.6667 0.3333 0.5000  6 Nd 3.62, 6 Th 3.66

Results
DFT total energy = -5.026 eV/atom
calculated formation energy = 0.072 eV per atom


Computed, not measured: KGa2Sb2 after structural relaxation at the GGA-PBE level of DFT.

abc: 8.3322 8.3322 3.8886
angles: 90.00 90.00 90.00
Last column: nearest neighbours and their distance in Å.
Sites, in units of the cell vectors:
K1 0.0000 0.0000 0.0000  4 Ga 3.28
K2 0.5000 0.5000 0.0000  4 Ga 3.28
Ga1 0.1278 0.3722 0.0000  6 Sb 3.00-3.31, 1 Ga 3.01, 2 K 3.28
Ga2 0.3722 0.8722 0.0000  6 Sb 3.00-3.31, 1 Ga 3.01, 2 K 3.28
Ga3 0.6278 0.1278 0.0000  6 Sb 3.00-3.31, 1 Ga 3.01, 2 K 3.28
Ga4 0.8722 0.6278 0.0000  6 Sb 3.00-3.31, 1 Ga 3.01, 2 K 3.28
Sb1 0.1453 0.6453 0.5000  6 Ga 3.00-3.31
Sb2 0.3547 0.1453 0.5000  6 Ga 3.00-3.31
Sb3 0.6453 0.8547 0.5000  6 Ga 3.00-3.31
Sb4 0.8547 0.3547 0.5000  6 Ga 3.00-3.31

Results
DFT total energy = -3.168 eV/atom
energy above the most stable polymorph in this dataset = 175.9 meV/atom
ΔE_f (raw) = -0.0891 eV/atom


Computed, not measured: HfThGe after structural relaxation at the GGA-PBE level of DFT.

abc: 4.7458 4.7458 3.7838
angles: 90.00 90.00 120.00
Last column: nearest neighbours and their distance in Å.
Sites, in units of the cell vectors:
Hf1 0.0000 0.0000 0.0000  3 Ge 2.74
Th1 0.6667 0.3333 0.5000  6 Hf 3.33, 6 Ge 3.33
Ge1 0.3333 0.6667 0.0000  3 Hf 2.74

Results
DFT total energy = -7.483 eV/atom
calculated formation energy = -0.153 eV per atom


Computed, not measured: Sr2ScAl after structural relaxation at the GGA-PBE level of DFT.

abc: 3.7505 3.7505 9.7149
angles: 90.00 90.00 90.00
Last column: nearest neighbours and their distance in Å.
Sites, in units of the cell vectors:
Sr1 0.0000 0.0000 0.0000  4 Sr 3.75, 4 Sc 3.78, 1 Al 3.95
Sr2 0.5000 0.5000 0.3618  4 Al 3.48, 1 Sc 3.51, 4 Sr 3.75
Sc1 0.5000 0.5000 0.7231  4 Al 2.94
Al1 0.0000 0.0000 0.5932  4 Sc 2.94

Results
DFT total energy = -3.377 eV/atom
calculated formation energy = -0.018 eV per atom